VASP calculation (PBE-GGA) on Nb3RhS after structural relaxation.

abc: 3.263 7.325 6.870
angles: 99.39 90.00 90.00
Sites, in units of the cell vectors:
Nb (0.750, 0.910, 0.351)
Nb (0.250, 0.090, 0.649)
Nb (0.250, 0.156, 0.146)
Nb (0.750, 0.844, 0.854)
Nb (0.750, 0.514, 0.183)
Nb (0.250, 0.486, 0.817)
S (0.750, 0.237, 0.900)
S (0.250, 0.763, 0.100)
Rh (0.250, 0.667, 0.514)
Rh (0.750, 0.333, 0.486)

Summary:
**ΔE_f (raw)**: -199 kJ/mol of formula units
**Energy relative to the lowest polymorph listed for this composition**: 0 meV per atom
**V**: 81 Å³/f.u.
**Total magnetization**: 0.0 μB/cell